Material: AcP2Pd2
Method: DFT, PBE
State: optimized geometry Values from VASP.

Summary:
Calculated density, g/cm³: 8.9
DFT total energy, eV per atom: -6.003
Symmetry: Fmmm, No. 69

The structure in Quantum ESPRESSO input format:
```
&SYSTEM
  ibrav = 0, nat = 5, ntyp = 3
/
ATOMIC_SPECIES
Ac 227.00 Ac.upf
P 30.97 P.upf
Pd 106.42 Pd.upf
CELL_PARAMETERS angstrom
0.000 3.073 4.985
3.069 0.000 4.985
3.069 3.073 0.000
ATOMIC_POSITIONS crystal
Ac 0.000 0.000 0.000
P 0.616 0.616 0.384
P 0.384 0.384 0.616
Pd 0.250 0.250 0.250
Pd 0.750 0.750 0.750
```


Material: Ac2PPt3
Method: DFT, PBE
State: optimized geometry Values from VASP.

Summary:
Calculated density, g/cm³: 12.4
DFT total energy, eV per atom: -6.470
Symmetry: Pmm2, No. 25

The structure in Quantum ESPRESSO input format:
```
&SYSTEM
  ibrav = 0, nat = 6, ntyp = 3
/
ATOMIC_SPECIES
Ac 227.00 Ac.upf
P 30.97 P.upf
Pt 195.08 Pt.upf
CELL_PARAMETERS angstrom
4.212 0.000 0.000
0.000 4.369 0.000
0.000 0.000 7.774
ATOMIC_POSITIONS crystal
Ac 0.500 0.000 0.002
Ac 0.500 0.500 0.507
P 0.000 0.000 0.322
Pt 0.000 0.500 0.196
Pt 0.000 0.000 0.631
Pt 0.000 0.500 0.841
```


Material: AcPPt
Method: DFT, PBE
State: optimized geometry Values from VASP.

Summary:
Calculated density, g/cm³: 10.9
DFT total energy, eV per atom: -6.510
Symmetry: P-6m2, No. 187

The structure in Quantum ESPRESSO input format:
```
&SYSTEM
  ibrav = 0, nat = 3, ntyp = 3
/
ATOMIC_SPECIES
Ac 227.00 Ac.upf
P 30.97 P.upf
Pt 195.08 Pt.upf
CELL_PARAMETERS angstrom
4.321 0.000 0.000
-2.161 3.742 0.000
0.000 0.000 4.256
ATOMIC_POSITIONS crystal
Ac 0.667 0.333 0.000
P 0.000 0.000 0.500
Pt 0.333 0.667 0.500
```


Material: AcUP
Method: DFT, PBE
State: optimized geometry Values from VASP.

Summary:
Calculated density, g/cm³: 11.2
DFT total energy, eV per atom: -6.934
Symmetry: R3m, No. 160

The structure in Quantum ESPRESSO input format:
```
&SYSTEM
  ibrav = 0, nat = 3, ntyp = 3
/
ATOMIC_SPECIES
Ac 227.00 Ac.upf
P 30.97 P.upf
U 238.03 U.upf
CELL_PARAMETERS angstrom
2.705 1.562 2.900
-2.705 1.562 2.900
0.000 -3.123 2.900
ATOMIC_POSITIONS crystal
Ac 0.768 0.768 0.768
P 0.431 0.431 0.431
U 0.131 0.131 0.131
```


Material: AcZr3P
Method: DFT, PBE
State: optimized geometry Values from VASP.

Summary:
Calculated density, g/cm³: 6.7
DFT total energy, eV per atom: -7.319
Symmetry: Pm-3m, No. 221

The structure in Quantum ESPRESSO input format:
```
&SYSTEM
  ibrav = 0, nat = 5, ntyp = 3
/
ATOMIC_SPECIES
Ac 227.00 Ac.upf
P 30.97 P.upf
Zr 91.22 Zr.upf
CELL_PARAMETERS angstrom
-4.847 1.362 -0.722
-1.071 -4.689 -1.653
-1.108 -1.423 4.755
ATOMIC_POSITIONS crystal
Ac 0.000 0.000 0.000
P 0.500 0.500 0.500
Zr 0.500 0.500 0.000
Zr 0.500 0.000 0.500
Zr 0.000 0.500 0.500
```


Material: AcPa
Method: DFT, PBE
State: optimized geometry Values from VASP.

Summary:
Calculated density, g/cm³: 8.9
Offset from the most stable computed form, eV per atom: 1.826
Symmetry: F-43m, No. 216
Calculated formation energy, eV per atom: 2.33

The structure in Quantum ESPRESSO input format:
```
&SYSTEM
  ibrav = 0, nat = 2, ntyp = 2
/
ATOMIC_SPECIES
Ac 227.00 Ac.upf
Pa 231.04 Pa.upf
CELL_PARAMETERS angstrom
4.698 -0.585 -1.456
2.294 -4.331 0.716
1.050 -2.915 -3.864
ATOMIC_POSITIONS crystal
Ac 0.000 0.000 0.000
Pa 0.250 0.250 0.250
```


Material: AcPa
Method: DFT, PBE
State: optimized geometry Values from VASP.

Summary:
Calculated density, g/cm³: 11.1
Offset from the most stable computed form, eV per atom: 0.870
Symmetry: Fm-3m, No. 225
Calculated formation energy, eV per atom: 1.37

The structure in Quantum ESPRESSO input format:
```
&SYSTEM
  ibrav = 0, nat = 2, ntyp = 2
/
ATOMIC_SPECIES
Ac 227.00 Ac.upf
Pa 231.04 Pa.upf
CELL_PARAMETERS angstrom
-2.084 1.528 3.791
-0.069 4.493 0.927
-3.927 2.350 -0.329
ATOMIC_POSITIONS crystal
Ac 0.000 0.000 0.000
Pa 0.500 0.500 0.500
```


Material: AcPa
Method: DFT, PBE
State: optimized geometry Values from VASP.

Summary:
Calculated density, g/cm³: 11.7
Offset from the most stable computed form, eV per atom: 0.000
Symmetry: P-6m2, No. 187
Calculated formation energy, eV per atom: 0.50

The structure in Quantum ESPRESSO input format:
```
&SYSTEM
  ibrav = 0, nat = 2, ntyp = 2
/
ATOMIC_SPECIES
Ac 227.00 Ac.upf
Pa 231.04 Pa.upf
CELL_PARAMETERS angstrom
-1.022 -3.345 0.358
3.350 0.887 0.588
-1.296 1.021 5.846
ATOMIC_POSITIONS crystal
Ac 0.667 0.333 0.750
Pa 0.333 0.667 0.250
```